Entry 1:
CeSmDyTh after structural relaxation, computed with PBE.

abc: 3.5581 3.5580 11.6552
angles: 90.00 98.79 120.00
Fractional coordinates of all 4 atoms:
Ce1 0.3041 0.5506 0.8705
Sm1 0.9674 0.3816 0.3642
Dy1 0.4739 0.1348 0.6236
Th1 0.1324 0.9638 0.1114

## Properties
Offset from the most stable computed form ... 0 meV per atom
Calculated total energy ... -5.63 eV per atom
Volume ... 31.445 A^3/atom
Formation energy ... 35 meV/atom

***

Entry 2:
Ce2Sm3Dy6Th after structural relaxation, computed with PBE.

abc: 6.1630 6.1630 11.7270
angles: 95.03 95.03 120.00
Each line ends with the local moment (μB).
Fractional coordinates of all 12 atoms:
Ce1 0.3333 0.6667 0.0000  0.51
Ce2 0.6667 0.3333 0.0000  0.51
Sm1 0.1668 0.8332 0.5000  0.00
Sm2 0.8332 0.1668 0.5000  0.00
Sm3 0.5000 0.5000 0.5000  0.00
Dy1 0.9179 0.5858 0.7552  0.00
Dy2 0.7500 0.7500 0.2448  0.00
Dy3 0.0821 0.4142 0.2448  0.00
Dy4 0.5858 0.9179 0.7552  0.00
Dy5 0.2500 0.2500 0.7552  0.00
Dy6 0.4142 0.0821 0.2448  0.00
Th1 0.0000 0.0000 0.0000  0.02

## Properties
Calculated total energy ... -5.05 eV per atom
Volume ... 31.646 A^3/atom
Formation energy ... 39 meV/atom

***

Entry 3:
CeSmDyTh after structural relaxation, computed with PBE.

abc: 5.6672 5.6672 5.6672
angles: 60.00 60.00 60.00
Each line ends with the local moment (μB).
Fractional coordinates of all 4 atoms:
Ce1 0.5000 0.5000 0.5000  0.84
Sm1 0.2500 0.2500 0.2500  0.18
Th1 0.7500 0.7500 0.7500  0.26
Dy1 0.0000 0.0000 0.0000  0.24

## Properties
Offset from the most stable computed form ... 194 meV per atom
Calculated total energy ... -5.44 eV per atom
Volume ... 32.177 A^3/atom
Formation energy ... 229 meV/atom